--- one ---
Tb3ZnC: relaxed, PBE.

Its density of states at the Fermi level is 3.44 states/eV/f.u.

The space group is C2/m (No. 12) and the conventional cell measures 11.4052, 5.1263 and 8.1818 Å, with angles of 90.00, 109.62 and 90.00 degrees. Symmetry generates all atoms from Tb at (0.0971, 0.0000, 0.2080), Tb at (0.1375, 0.5000, 0.9203), Tb at (0.1608, 0.0000, 0.6465), Zn at (0.0915, 0.5000, 0.4398) and C at (0.1317, 0.0000, 0.9262).

--- two ---
Tb3ZnC: relaxed, PBE.

Its density of states at the Fermi level is 6.61 states/eV/f.u.

The space group is Pm-3m (No. 221) and the conventional cell measures 4.9068, 4.9068 and 4.9068 Å, with angles of 90.00, 90.00 and 90.00 degrees. Symmetry generates all atoms from Tb at (0.0000, 0.0000, 0.5000), Zn at (0.5000, 0.5000, 0.5000) and C at (0.0000, 0.0000, 0.0000).

Stability verdict: one, ahead by 0.036 eV/atom

--- one ---
TbZrC: relaxed, PBE.

Its density of states at the Fermi level is 2.89 states/eV/f.u.

The space group is P3m1 (No. 156) and the conventional cell measures 3.4477, 3.4477 and 5.8705 Å, with angles of 90.00, 90.00 and 120.00 degrees. Symmetry generates all atoms from Tb at (0.0000, 0.0000, 0.0000), Zr at (0.3333, 0.6667, 0.4494) and C at (0.6667, 0.3333, 0.2583).

--- two ---
TbZrC: relaxed, PBE.

Its density of states at the Fermi level is 2.62 states/eV/f.u.

The space group is P-3m1 (No. 164) and the conventional cell measures 3.4446, 3.4446 and 11.7596 Å, with angles of 90.00, 90.00 and 120.00 degrees. Symmetry generates all atoms from Tb at (0.0000, 0.0000, 0.1544), Zr at (0.3333, 0.6667, 0.6226) and C at (0.3333, 0.6667, 0.2779).

Stability verdict: two, ahead by 0.029 eV/atom

--- one ---
TcC2: relaxed, PBE.

Its density of states at the Fermi level is 2.03 states/eV/f.u.

The space group is R3m (No. 160, hexagonal axes) and the conventional cell measures 3.4342, 3.4342 and 9.9287 Å, with angles of 90.00, 90.00 and 120.00 degrees. Symmetry generates all atoms from Tc at (0.0000, 0.0000, 0.0000), C at (0.0000, 0.0000, 0.2094) and C at (0.0000, 0.0000, 0.3523).

--- two ---
TcC2: relaxed, PBE.

Its density of states at the Fermi level is 1.92 states/eV/f.u.

The space group is I4_1/amd (No. 141, origin choice 2) and the conventional cell measures 2.6515, 2.6515 and 14.5022 Å, with angles of 90.00, 90.00 and 90.00 degrees. Symmetry generates all atoms from Tc at (0.0000, 0.2500, 0.3750) and C at (0.0000, 0.2500, 0.7784).

--- three ---
TcC2: relaxed, PBE.

Its density of states at the Fermi level is 0.87 states/eV/f.u.

The space group is I4/mmm (No. 139) and the conventional cell measures 2.7611, 2.7611 and 6.7157 Å, with angles of 90.00, 90.00 and 90.00 degrees. Symmetry generates all atoms from Tc at (0.0000, 0.0000, 0.0000) and C at (0.0000, 0.0000, 0.3333).

Stability verdict: one, ahead by 0.276 eV/atom